Entry 1:
Rb2HoSnSe5 | PBE | relaxed

```
18
Lattice="2.056 -10.315 0.000 2.056 10.315 0.000 0.000 0.000 15.054" Properties=species:S:1:pos:R:3 pbc="T T T"
Rb 2.056 7.641 7.527
Rb 2.056 7.452 2.018
Rb 2.056 -7.452 9.546
Rb 2.056 -7.641 0.000
Ho 2.056 6.146 12.636
Ho 2.056 -6.146 5.109
Sn 2.056 1.249 3.482
Sn 2.056 -1.249 11.010
Se 2.056 9.300 12.674
Se 2.056 4.029 6.960
Se 2.056 3.770 2.986
Se 2.056 3.431 12.365
Se 2.056 0.039 8.890
Se 2.056 -0.039 1.363
Se 2.056 -3.431 4.838
Se 2.056 -3.770 10.513
Se 2.056 -4.029 14.487
Se 2.056 -9.300 5.147
```

## Properties
Its total magnetization is 1.7 μB per cell. For the total energy, the calculation gives -4.11 eV/atom. Its density of states at the Fermi level is 0.608 states/eV/atom.

=====

Entry 2:
AcCuSe3 | PBE | relaxed

```
20
Lattice="5.536 -6.302 0.000 5.536 6.302 0.000 -3.940 0.000 7.551" Properties=species:S:1:pos:R:3 pbc="T T T"
Ac 2.580 5.618 5.663
Ac 4.551 1.515 1.888
Ac 2.580 -1.515 5.663
Ac 4.551 -5.618 1.888
Cu 1.349 1.932 5.213
Cu 3.812 1.932 6.114
Cu 3.319 -1.932 1.437
Cu 5.782 -1.932 2.338
Se 2.954 4.294 2.901
Se 0.504 3.455 6.786
Se 6.147 4.294 0.874
Se 1.800 0.460 3.453
Se 4.657 3.455 4.541
Se -0.170 -0.460 7.229
Se 7.301 0.460 0.322
Se 2.474 -3.455 3.011
Se 5.331 -0.460 4.098
Se 0.984 -4.294 6.677
Se 6.627 -3.455 0.765
Se 4.177 -4.294 4.650
```

## Properties
Its total magnetization is 0.0 μB per cell. For the total energy, the calculation gives -4.72 eV/atom. The energy above the most stable polymorph in this dataset comes out at 0 meV/atom. Its density of states at the Fermi level is 0.007 states/eV/atom.

=====

Entry 3:
BaCd | PBE | relaxed

```
12
Lattice="9.740 0.000 0.000 0.000 9.740 0.000 0.000 0.000 9.740" Properties=species:S:1:pos:R:3 pbc="T T T"
Ba 0.000 2.435 4.870
Ba 0.000 7.305 4.870
Ba 2.435 4.870 0.000
Ba 4.870 0.000 2.435
Ba 4.870 0.000 7.305
Ba 7.305 4.870 0.000
Cd 0.000 4.870 2.435
Cd 0.000 4.870 7.305
Cd 2.435 0.000 4.870
Cd 4.870 2.435 0.000
Cd 4.870 7.305 0.000
Cd 7.305 0.000 4.870
```

## Properties
The value obtained for the formation energy from the elements is 308 meV/atom. Its total magnetization is 0.0 μB per cell. For the total energy, the calculation gives -1.11 eV/atom. Its density of states at the Fermi level is 0.470 states/eV/atom.